# 1
## CaSc2P (PBE)

Data for a relaxed structure of CaSc2P.

As for the energy of formation: -257 meV per atom. The calculation puts the density at 3.12 Mg/m³.

The space group is P4/mmm (No. 123) and the conventional cell measures 4.3675, 4.3675 and 4.4863 Å, with angles of 90.00, 90.00 and 90.00 degrees. The distinct sites, in fractional coordinates, are Ca at (0.0000, 0.0000, 0.0000), Sc at (0.0000, 0.5000, 0.5000) and P at (0.5000, 0.5000, 0.0000).

---

# 2
## Nd8Hg2Pt (PBE)

Data for a relaxed structure of Nd8Hg2Pt.

As for the energy of formation: -313 meV per atom. The calculation puts the density at 8.46 Mg/m³. For the relative energy among the computed polymorphs, the calculation gives 39 meV/atom.

The space group is Cm (No. 8) and the conventional cell measures 8.3252, 16.6086 and 6.3457 Å, with angles of 90.00, 128.47 and 90.00 degrees. The distinct sites, in fractional coordinates, are Nd at (0.0000, 0.0000, 0.0000), Nd at (0.0244, 0.5000, 0.2715), Nd at (0.1888, 0.1913, 0.0159), Nd at (0.3976, 0.3742, 0.3334), Nd at (0.4261, 0.1103, 0.6763), Hg at (0.1864, 0.2881, 0.5466) and Pt at (0.1590, 0.0000, 0.7044).

---

# 3
## Re2TcO6 (PBE)

Data for a relaxed structure of Re2TcO6.

The calculation puts the density at 9.58 Mg/m³. The uncorrected formation energy comes out at -1.37 eV per atom.

The space group is P-31m (No. 162) and the conventional cell measures 4.7593, 4.7593 and 5.0070 Å, with angles of 90.00, 90.00 and 120.00 degrees. The distinct sites, in fractional coordinates, are Re at (0.3333, 0.6667, 0.0000), Tc at (0.0000, 0.0000, 0.5000) and O at (0.0000, 0.3255, 0.7523).

---

# 4
## Dy2SiGePd6 (PBE)

Data for a relaxed structure of Dy2SiGePd6.

The calculation puts the density at 9.68 Mg/m³. The uncorrected formation energy comes out at -0.74 eV per atom.

The space group is P-1 (No. 2) and the conventional cell measures 5.4575, 6.3506 and 6.4369 Å, with angles of 83.09, 65.07 and 64.77 degrees. The distinct sites, in fractional coordinates, are Dy at (0.2468, 0.2515, 0.2538), Si at (0.0000, 0.0000, 0.0000), Ge at (0.5000, 0.5000, 0.5000), Pd at (0.1947, 0.8109, 0.2976), Pd at (0.2475, 0.5884, 0.9173) and Pd at (0.3035, 0.1880, 0.7028).